--- P ---
6
Lattice="-3.728 2.471 -3.687 2.814 -4.810 -1.594 -3.426 -1.753 4.607" Properties=species:S:1:pos:R:3 comment="ThZrU GGA-PBE optimized geometry" spacegroup="No. 69" crystal_system=orthorhombic pbc="T T T"
Zr -3.048 -3.120 -1.328
Zr -1.292 -0.972 0.654
Th 0.647 -2.399 -2.287
Th -1.561 0.059 -2.994
U -3.805 -0.226 -0.860
U -0.534 -3.866 0.186



--- Q ---
3
Lattice="3.179 0.000 0.000 0.000 3.179 0.000 -1.590 -1.590 7.564" Properties=species:S:1:pos:R:3 comment="ThZrU GGA-PBE optimized geometry" spacegroup="No. 107" crystal_system=tetragonal pbc="T T T"
Zr 0.000 0.000 4.381
Th 1.590 1.590 1.734
U 1.590 1.590 6.744



Here are the energies relative to the best structure, in kJ/mol of atoms: P 8.0; Q 0.0.



--- P ---
4
Lattice="-2.667 2.917 1.642 -3.330 -1.246 2.383 0.989 0.852 5.671" Properties=species:S:1:pos:R:3 comment="ThV2W GGA-PBE optimized geometry" spacegroup="No. 166" crystal_system=trigonal pbc="T T T"
V -3.304 1.937 7.927
V -1.704 0.586 1.769
Th -2.504 1.261 4.848
W 0.000 0.000 0.000



--- Q ---
4
Lattice="3.169 0.000 0.000 0.000 3.169 0.000 0.000 0.000 7.457" Properties=species:S:1:pos:R:3 comment="ThV2W GGA-PBE optimized geometry" spacegroup="No. 123" crystal_system=tetragonal pbc="T T T"
W 1.585 1.585 0.000
V 0.000 0.000 1.403
V 0.000 0.000 6.054
Th 1.585 1.585 3.728



Here are the energies relative to the best structure, in kJ/mol of atoms: P 10.4; Q 0.0.



--- P ---
4
Lattice="5.028 0.000 0.000 2.514 4.354 0.000 2.514 1.451 4.123" Properties=species:S:1:pos:R:3 comment="ThZr2V GGA-PBE optimized geometry" spacegroup="No. 166" crystal_system=trigonal pbc="T T T"
V 0.000 0.000 0.000
Th 5.028 2.903 2.061
Zr 2.514 1.451 1.020
Zr 7.542 4.354 3.103



--- Q ---
4
Lattice="3.380 0.000 0.000 0.000 3.380 0.000 0.000 0.000 7.985" Properties=species:S:1:pos:R:3 comment="ThZr2V GGA-PBE optimized geometry" spacegroup="No. 123" crystal_system=tetragonal pbc="T T T"
Zr 0.000 0.000 1.573
Zr 0.000 0.000 6.412
V 1.690 1.690 0.000
Th 1.690 1.690 3.992



Here are the energies relative to the best structure, in kJ/mol of atoms: P 13.4; Q 0.0.



--- P ---
9
Lattice="-4.848 -0.758 -1.281 -0.765 -7.484 -2.714 -3.908 -2.780 6.399" Properties=species:S:1:pos:R:3 comment="Y8Th GGA-PBE optimized geometry" spacegroup="No. 139" crystal_system=tetragonal pbc="T T T"
Y -4.731 -7.116 2.041
Y -5.846 -2.373 3.454
Y -1.806 -5.926 0.304
Y -1.881 -2.705 -1.319
Y -2.910 -1.165 1.664
Y -4.790 -3.906 0.364
Y -2.867 -4.338 3.381
Y -3.732 -5.537 -2.675
Th 0.000 0.000 0.000



--- Q ---
9
Lattice="3.438 0.000 1.497 1.719 8.841 0.749 -1.811 0.000 8.854" Properties=species:S:1:pos:R:3 comment="Y8Th GGA-PBE optimized geometry" spacegroup="No. 139" crystal_system=tetragonal pbc="T T T"
Th 0.000 0.000 0.000
Y 2.260 2.952 4.203
Y 0.542 0.000 3.451
Y 1.719 2.947 0.749
Y 1.085 0.000 6.900
Y 3.438 5.893 1.497
Y 0.541 5.889 3.455
Y -0.632 2.952 6.148
Y 1.087 5.889 6.896



Here are the energies relative to the best structure, in kJ/mol of atoms: P 0.0; Q 8.5.